P:
! BaHoMo, relaxed, DFT PBE-GGA; values from VASP
&SYSTEM
  ibrav = 0, nat = 3, ntyp = 3
/
ATOMIC_SPECIES
Ba 137.33 Ba.upf
Ho 164.93 Ho.upf
Mo 95.94 Mo.upf
CELL_PARAMETERS angstrom
0.000 3.627 3.627
3.627 0.000 3.627
3.627 3.627 0.000
ATOMIC_POSITIONS angstrom
Ba 0.000 0.000 0.000
Ho 3.627 3.627 3.627
Mo 1.814 1.814 1.814
! total moment = 0.38 μB per atom
! mass density = 6.9 Mg/m³
! symmetry = No. 216

=====

Q:
! BaHoMo, relaxed, DFT PBE-GGA; values from VASP
&SYSTEM
  ibrav = 0, nat = 3, ntyp = 3
/
ATOMIC_SPECIES
Ba 137.33 Ba.upf
Ho 164.93 Ho.upf
Mo 95.94 Mo.upf
CELL_PARAMETERS angstrom
0.000 3.649 3.649
3.649 0.000 3.649
3.649 3.649 0.000
ATOMIC_POSITIONS angstrom
Ba 0.000 0.000 0.000
Ho 5.473 5.473 5.473
Mo 1.824 1.824 1.824
! total moment = 1.02 μB per atom
! mass density = 6.8 Mg/m³
! symmetry = No. 216

=====

Most stable: P (next structure +0.569 eV/atom)